Here is a geometry-optimized Ce2HoPuP4 structure from Alexandria via LeMat-Bulk. Energies are from GGA-PBE.

a b c (Å): 6.985 4.046 6.997
angles (deg): 90.00 109.59 90.00
Space group P2/m (No. 10)
Inequivalent atoms, fractional coordinates:
Ce 0.000 0.000 0.000 x1
Ce 0.000 0.500 0.500 x1
Ho 0.500 0.000 0.500 x1
Pu 0.500 0.500 0.000 x1
P 0.254 0.500 0.251 x2
P 0.256 0.000 0.753 x2

Final energy, eV per atom: -7.995

***

Here is a geometry-optimized Al4TlNi structure from Alexandria via LeMat-Bulk. Energies are from GGA-PBE.

a b c (Å): 7.598 7.598 7.598
angles (deg): 90.00 90.00 90.00
Space group F-43m (No. 216)
Inequivalent atoms, fractional coordinates:
Al 0.124 0.124 0.124 x16
Tl 0.000 0.000 0.500 x4
Ni 0.250 0.250 0.750 x4

Final energy, eV per atom: -3.523

***

Here is a geometry-optimized Na2SrHf structure from Alexandria via LeMat-Bulk. Energies are from GGA-PBE.

a b c (Å): 9.095 9.095 6.748
angles (deg): 90.00 90.00 90.00
Space group I-42d (No. 122)
Inequivalent atoms, fractional coordinates:
Na 0.236 0.250 0.125 x8
Sr 0.000 0.000 0.500 x4
Hf 0.000 0.000 0.000 x4

Final energy, eV per atom: -2.603
Polymorph energy (0 for the lowest one), meV/atom: 180.2

***

Here is a geometry-optimized HfNbO3 structure from Alexandria via LeMat-Bulk. Energies are from GGA-PBE.

a b c (Å): 4.053 4.053 4.053
angles (deg): 90.00 90.00 90.00
Space group Pm-3m (No. 221)
Inequivalent atoms, fractional coordinates:
Hf 0.000 0.000 0.000 x1
Nb 0.500 0.500 0.500 x1
O 0.000 0.000 0.500 x3

Final energy, eV per atom: -8.847
Formation energy without anion corrections, eV/atom: -1.867

***

no.,D(E_F) (states/eV/f.u.),density (Mg/m³)
1,14.97,7.247
2,3.18,5.618
3,4.81,3.713
4,3.48,7.968